Entry 1:
The following is a DFT calculation (PBE) of a relaxed structure of MnTlSb.

Cell lengths 3.4216, 3.4216, 12.2751 Å; angles 90.00, 90.00, 90.00 degrees
Element x y z (fractional)
Mn (0.2500, 0.7500, 0.0000)
Mn (0.7500, 0.2500, 0.0000)
Tl (0.2500, 0.2500, 0.3952)
Tl (0.7500, 0.7500, 0.6048)
Sb (0.2500, 0.2500, 0.8346)
Sb (0.7500, 0.7500, 0.1654)

Formation energy without anion corrections = 204 meV/atom
Energy = -5.02 eV/atom

Entry 2:
The following is a DFT calculation (PBE) of a relaxed structure of YBi2F.

Cell lengths 5.2583, 5.2583, 5.2583 Å; angles 60.00, 60.00, 60.00 degrees
Element x y z (fractional)
Y (0.0000, 0.0000, 0.0000)
Bi (0.2500, 0.2500, 0.2500)
Bi (0.7500, 0.7500, 0.7500)
F (0.5000, 0.5000, 0.5000)

Formation energy without anion corrections = -706 meV/atom
Energy = -4.73 eV/atom

Q: Look up the energy of the first one.
A: -5.02 eV/atom